YHo6Er2Sc: optimized geometry, GGA-PBE.

The structure in POSCAR format:
```
YHo6Er2Sc
1.0
4.4782 -7.3992 0.0000
4.4782 7.3992 0.0000
-1.1387 0.0000 9.2772
Y Ho Er Sc
2 12 4 2
direct
0.0221 0.9779 0.7500 Y
0.9779 0.0221 0.2500 Y
0.0084 0.5650 0.6896 Ho
0.1286 0.7534 0.0552 Ho
0.2466 0.8714 0.4448 Ho
0.2907 0.5040 0.8836 Ho
0.4350 0.9916 0.8104 Ho
0.4960 0.7093 0.6164 Ho
0.5040 0.2907 0.3836 Ho
0.5650 0.0084 0.1896 Ho
0.7093 0.4960 0.1164 Ho
0.7534 0.1286 0.5552 Ho
0.8714 0.2466 0.9448 Ho
0.9916 0.4350 0.3104 Ho
0.2006 0.3077 0.5463 Er
0.3077 0.2006 0.0463 Er
0.6923 0.7994 0.9537 Er
0.7994 0.6923 0.4537 Er
0.4136 0.5864 0.2500 Sc
0.5864 0.4136 0.7500 Sc
```

Results
Energy in eV per cell: -96.266
V in Å³/f.u.: 307
Formation energy from the elements in eV per atom: 0.1255

***

Pm2Pr3Ga2: optimized geometry, GGA-PBE.

The structure in POSCAR format:
```
Pm2Pr3Ga2
1.0
6.2345 -2.1167 0.0000
6.2345 2.1167 0.0000
-3.5593 0.0000 8.1868
Pm Pr Ga
2 3 2
direct
0.1552 0.1552 0.3158 Pm
0.8448 0.8448 0.6842 Pm
0.3828 0.3828 0.0643 Pr
0.5000 0.5000 0.5000 Pr
0.6172 0.6172 0.9357 Pr
0.1760 0.1760 0.7139 Ga
0.8240 0.8240 0.2861 Ga
```

Results
Energy in eV per cell: -31.899
V in Å³/f.u.: 216
Formation energy from the elements in eV per atom: -0.2865